(1)
# V6CrMo3

A relaxed structure of V6CrMo3 (PBE, Alexandria via LeMat-Bulk).

The density of states at the Fermi level is 13.1 states/eV/f.u. The value obtained for the polymorph energy (0 for the lowest one) is 0.000 eV per atom. The crystal system is monoclinic.

The structure in CIF format:
```
data_V6CrMo3
_space_group_name_H-M_alt 'P 1 21/m 1'
_space_group_IT_number 11
_cell_length_a 7.415
_cell_length_b 4.283
_cell_length_c 9.099
_cell_angle_alpha 90.00
_cell_angle_beta 105.59
_cell_angle_gamma 90.00
loop_
_space_group_symop_operation_xyz
'x,y,z'
'-x,-y,-z'
'-x,y+1/2,-z'
'x,-y+1/2,z'
loop_
_atom_site_label
_atom_site_type_symbol
_atom_site_fract_x
_atom_site_fract_y
_atom_site_fract_z
V1 V 0.048 0.250 0.395
V2 V 0.142 0.750 0.193
V3 V 0.148 0.250 0.706
V4 V 0.239 0.250 0.999
V5 V 0.345 0.750 0.804
V6 V 0.450 0.250 0.602
Cr1 Cr 0.051 0.750 0.901
Mo1 Mo 0.244 0.750 0.503
Mo2 Mo 0.347 0.250 0.299
Mo3 Mo 0.451 0.750 0.100
```


(2)
# VCr6Mo2

A relaxed structure of VCr6Mo2 (PBE, Alexandria via LeMat-Bulk).

The density of states at the Fermi level is 5.8 states/eV/f.u. The total energy comes out at -9.821 eV per atom. The crystal system is monoclinic.

The structure in CIF format:
```
data_VCr6Mo2
_space_group_name_H-M_alt 'C 1 2/m 1'
_space_group_IT_number 12
_cell_length_a 9.280
_cell_length_b 2.957
_cell_length_c 8.824
_cell_angle_alpha 90.00
_cell_angle_beta 108.02
_cell_angle_gamma 90.00
loop_
_space_group_symop_operation_xyz
'x,y,z'
'-x,-y,-z'
'-x,y,-z'
'x,-y,z'
'x+1/2,y+1/2,z'
'-x+1/2,-y+1/2,-z'
'-x+1/2,y+1/2,-z'
'x+1/2,-y+1/2,z'
loop_
_atom_site_label
_atom_site_type_symbol
_atom_site_fract_x
_atom_site_fract_y
_atom_site_fract_z
V1 V 0.000 0.000 0.000
Cr1 Cr 0.000 0.000 0.338
Cr2 Cr 0.162 0.500 0.552
Cr3 Cr 0.164 0.500 0.889
Mo1 Mo 0.171 0.500 0.227
```


(3)
# VCrMo

A relaxed structure of VCrMo (PBE, Alexandria via LeMat-Bulk).

The density of states at the Fermi level is 1.5 states/eV/f.u. The value obtained for the polymorph energy (0 for the lowest one) is 0.000 eV per atom. The crystal system is orthorhombic.

The structure in CIF format:
```
data_VCrMo
_space_group_name_H-M_alt 'C m c m'
_space_group_IT_number 63
_space_group_name_Hall '-C 2c 2'
_cell_length_a 4.231
_cell_length_b 9.029
_cell_length_c 4.278
_cell_angle_alpha 90.00
_cell_angle_beta 90.00
_cell_angle_gamma 90.00
loop_
_atom_site_label
_atom_site_type_symbol
_atom_site_fract_x
_atom_site_fract_y
_atom_site_fract_z
V1 V 0.000 0.087 0.250
Cr1 Cr 0.000 0.249 0.750
Mo1 Mo 0.000 0.412 0.250
```


(4)
# V6CrMo5

A relaxed structure of V6CrMo5 (PBE, Alexandria via LeMat-Bulk).

The density of states at the Fermi level is 9.6 states/eV/f.u. The total energy comes out at -9.987 eV per atom. The crystal system is orthorhombic.

The structure in CIF format:
```
data_V6CrMo5
_space_group_name_H-M_alt 'C m m m'
_space_group_IT_number 65
_space_group_name_Hall '-C 2 2'
_cell_length_a 4.314
_cell_length_b 12.937
_cell_length_c 6.102
_cell_angle_alpha 90.00
_cell_angle_beta 90.00
_cell_angle_gamma 90.00
loop_
_atom_site_label
_atom_site_type_symbol
_atom_site_fract_x
_atom_site_fract_y
_atom_site_fract_z
V1 V 0.000 0.000 0.246
V2 V 0.000 0.336 0.247
Cr1 Cr 0.000 0.500 0.000
Mo1 Mo 0.000 0.165 0.000
Mo2 Mo 0.000 0.167 0.500
Mo3 Mo 0.000 0.500 0.500
```


(5)
# V6CrMo3

A relaxed structure of V6CrMo3 (PBE, Alexandria via LeMat-Bulk).

The density of states at the Fermi level is 12.8 states/eV/f.u. The value obtained for the polymorph energy (0 for the lowest one) is 0.292 eV per atom. The crystal system is monoclinic.

The structure in CIF format:
```
data_V6CrMo3
_space_group_name_H-M_alt 'P 1 21/m 1'
_space_group_IT_number 11
_cell_length_a 9.233
_cell_length_b 2.505
_cell_length_c 12.831
_cell_angle_alpha 90.00
_cell_angle_beta 104.24
_cell_angle_gamma 90.00
loop_
_space_group_symop_operation_xyz
'x,y,z'
'-x,-y,-z'
'-x,y+1/2,-z'
'x,-y+1/2,z'
loop_
_atom_site_label
_atom_site_type_symbol
_atom_site_fract_x
_atom_site_fract_y
_atom_site_fract_z
V1 V 0.112 0.250 0.278
V2 V 0.120 0.750 0.476
V3 V 0.127 0.250 0.871
V4 V 0.368 0.250 0.231
V5 V 0.372 0.250 0.628
V6 V 0.372 0.750 0.029
Cr1 Cr 0.120 0.750 0.670
Mo1 Mo 0.124 0.750 0.079
Mo2 Mo 0.370 0.250 0.429
Mo3 Mo 0.378 0.750 0.825
```


(6)
# V6CrMo2

A relaxed structure of V6CrMo2 (PBE, Alexandria via LeMat-Bulk).

The density of states at the Fermi level is 9.5 states/eV/f.u. The value obtained for the polymorph energy (0 for the lowest one) is 0.151 eV per atom. The crystal system is monoclinic.

The structure in CIF format:
```
data_V6CrMo2
_space_group_name_H-M_alt 'C 1 2/m 1'
_space_group_IT_number 12
_cell_length_a 8.715
_cell_length_b 5.013
_cell_length_c 6.003
_cell_angle_alpha 90.00
_cell_angle_beta 103.13
_cell_angle_gamma 90.00
loop_
_space_group_symop_operation_xyz
'x,y,z'
'-x,-y,-z'
'-x,y,-z'
'x,-y,z'
'x+1/2,y+1/2,z'
'-x+1/2,-y+1/2,-z'
'-x+1/2,y+1/2,-z'
'x+1/2,-y+1/2,z'
loop_
_atom_site_label
_atom_site_type_symbol
_atom_site_fract_x
_atom_site_fract_y
_atom_site_fract_z
V1 V 0.034 0.246 0.204
V2 V 0.240 0.500 0.921
Cr1 Cr 0.000 0.500 0.500
Mo1 Mo 0.186 0.000 0.586
```


(7)
# V2Cr4Mo

A relaxed structure of V2Cr4Mo (PBE, Alexandria via LeMat-Bulk).

The density of states at the Fermi level is 8.0 states/eV/f.u. The total energy comes out at -9.518 eV per atom. The crystal system is triclinic.

The structure in CIF format:
```
data_V2Cr4Mo
_space_group_name_H-M_alt 'P 1'
_space_group_IT_number 1
_cell_length_a 4.831
_cell_length_b 6.586
_cell_length_c 6.598
_cell_angle_alpha 60.51
_cell_angle_beta 89.79
_cell_angle_gamma 85.38
loop_
_space_group_symop_operation_xyz
'x,y,z'
loop_
_atom_site_label
_atom_site_type_symbol
_atom_site_fract_x
_atom_site_fract_y
_atom_site_fract_z
V1 V 0.000 0.000 0.000
V2 V 0.068 0.224 0.547
V3 V 0.320 0.892 0.438
V4 V 0.565 0.231 0.535
Cr1 Cr 0.147 0.462 0.762
Cr2 Cr 0.303 0.747 0.854
Cr3 Cr 0.310 0.605 0.299
Cr4 Cr 0.323 0.318 0.148
Cr5 Cr 0.647 0.455 0.769
Cr6 Cr 0.810 0.123 0.256
Cr7 Cr 0.820 0.844 0.678
Cr8 Cr 0.829 0.690 0.398
Mo1 Mo 0.499 0.005 0.996
Mo2 Mo 0.815 0.555 0.102
```


(8)
# VCrMo4

A relaxed structure of VCrMo4 (PBE, Alexandria via LeMat-Bulk).

The density of states at the Fermi level is 4.1 states/eV/f.u. The value obtained for the polymorph energy (0 for the lowest one) is 0.000 eV per atom. The crystal system is tetragonal.

The structure in CIF format:
```
data_VCrMo4
_space_group_name_H-M_alt 'P 4/m m m'
_space_group_IT_number 123
_space_group_name_Hall '-P 4 2'
_cell_length_a 3.088
_cell_length_b 3.088
_cell_length_c 9.300
_cell_angle_alpha 90.00
_cell_angle_beta 90.00
_cell_angle_gamma 90.00
loop_
_atom_site_label
_atom_site_type_symbol
_atom_site_fract_x
_atom_site_fract_y
_atom_site_fract_z
V1 V 0.000 0.000 0.000
Cr1 Cr 0.500 0.500 0.500
Mo1 Mo 0.000 0.000 0.338
Mo2 Mo 0.500 0.500 0.166
```


What is the formula in the fourth record?
V6CrMo5


Please write out number 4 again, unchanged.
# V6CrMo5

A relaxed structure of V6CrMo5 (PBE, Alexandria via LeMat-Bulk).

The density of states at the Fermi level is 9.6 states/eV/f.u. The total energy comes out at -9.987 eV per atom. The crystal system is orthorhombic.

The structure in CIF format:
```
data_V6CrMo5
_space_group_name_H-M_alt 'C m m m'
_space_group_IT_number 65
_space_group_name_Hall '-C 2 2'
_cell_length_a 4.314
_cell_length_b 12.937
_cell_length_c 6.102
_cell_angle_alpha 90.00
_cell_angle_beta 90.00
_cell_angle_gamma 90.00
loop_
_atom_site_label
_atom_site_type_symbol
_atom_site_fract_x
_atom_site_fract_y
_atom_site_fract_z
V1 V 0.000 0.000 0.246
V2 V 0.000 0.336 0.247
Cr1 Cr 0.000 0.500 0.000
Mo1 Mo 0.000 0.165 0.000
Mo2 Mo 0.000 0.167 0.500
Mo3 Mo 0.000 0.500 0.500
```